# 1
A plane-wave DFT calculation with PBE-GGA was carried out for a geometry-optimized Er3ThNi8 structure.

## Properties
Its total energy is -6.046 eV per atom.

abc: 5.0887 5.0887 8.3076
angles: 90.00 90.00 120.00
Positions (direct):
1 Er 0.6667 0.3333 0.4275
2 Er 0.6667 0.3333 0.0590
3 Er 0.0000 0.0000 0.9470
4 Th 0.0000 0.0000 0.5668
5 Ni 0.3333 0.6667 0.4986
6 Ni 0.3333 0.6667 0.9992
7 Ni 0.4998 0.9995 0.7522
8 Ni 0.4998 0.5002 0.7522
9 Ni 0.0005 0.5002 0.7522
10 Ni 0.1685 0.3369 0.2485
11 Ni 0.1685 0.8315 0.2485
12 Ni 0.6631 0.8315 0.2485



# 2
A plane-wave DFT calculation with PBE-GGA was carried out for a geometry-optimized SrYCu structure.

## Properties
As for the polymorph energy (0 for the lowest one): 239.3 meV per atom.

abc: 5.0895 5.0895 5.0895
angles: 60.00 60.00 60.00
Positions (direct):
1 Cu 0.7500 0.7500 0.7500
2 Sr 0.0000 0.0000 0.0000
3 Y 0.5000 0.5000 0.5000



# 3
A plane-wave DFT calculation with PBE-GGA was carried out for a geometry-optimized Co2AgPb structure.

## Properties
Its total energy is -4.823 eV per atom.

abc: 3.0784 3.0784 7.2903
angles: 90.00 90.00 90.00
Positions (direct):
1 Ag 0.5000 0.5000 0.8073
2 Co 0.0000 0.0000 0.0447
3 Co 0.5000 0.5000 0.1851
4 Pb 0.0000 0.0000 0.4629



# 4
A plane-wave DFT calculation with PBE-GGA was carried out for a geometry-optimized Nd4Sm3Cd structure.

## Properties
Its total energy is -4.248 eV per atom.

abc: 4.1785 4.1785 15.0358
angles: 90.00 90.00 90.00
Positions (direct):
1 Nd 0.0000 0.0000 0.8859
2 Nd 0.0000 0.0000 0.1141
3 Nd 0.0000 0.0000 0.3774
4 Nd 0.0000 0.0000 0.6226
5 Sm 0.5000 0.5000 0.2515
6 Sm 0.5000 0.5000 0.5000
7 Sm 0.5000 0.5000 0.7485
8 Cd 0.5000 0.5000 0.0000